#one
! Sr3Ge4Ir2 | Alexandria via LeMat-Bulk | PBE-GGA | relaxed; values from VASP
! Total magnetization, μB per cell: 0.0
&SYSTEM
  ibrav = 0, nat = 9, ntyp = 3
/
ATOMIC_SPECIES
Sr 87.62 Sr.upf
Ge 72.64 Ge.upf
Ir 192.22 Ir.upf
ATOMIC_POSITIONS angstrom
Sr 0.000 0.000 0.000
Sr 3.642 0.000 3.083
Sr 7.263 0.000 5.880
Ge 0.241 0.000 3.375
Ge 2.205 0.000 8.313
Ge 8.700 0.000 0.650
Ge 10.664 0.000 5.588
Ir 3.821 0.000 6.485
Ir 7.084 0.000 2.478
CELL_PARAMETERS angstrom
6.052 -2.072 0.000
6.052 2.072 0.000
-1.199 0.000 8.963

#two
! Sr3Ge4Ir2 | Alexandria via LeMat-Bulk | PBE-GGA | relaxed; values from VASP
! Total magnetization, μB per cell: 0.0
&SYSTEM
  ibrav = 0, nat = 9, ntyp = 3
/
ATOMIC_SPECIES
Sr 87.62 Sr.upf
Ge 72.64 Ge.upf
Ir 192.22 Ir.upf
ATOMIC_POSITIONS angstrom
Sr 0.000 0.000 0.000
Sr 3.876 0.000 2.515
Sr 5.427 0.000 5.638
Ge 0.377 0.000 3.255
Ge 0.971 0.000 7.489
Ge 8.332 0.000 0.664
Ge 8.927 0.000 4.898
Ir 1.947 0.000 5.208
Ir 7.357 0.000 2.945
CELL_PARAMETERS angstrom
5.897 -2.207 0.000
5.897 2.207 0.000
-2.490 0.000 8.153

Going by the energies, #two is most stable and the next is 21 meV per atom up.